Entry from Alexandria: CdTe2Au2 after structural relaxation (PBE).

```
10
Lattice="7.6772 0.0000 0.0000 0.0000 7.6772 0.0000 0.0000 0.0000 4.0580" Properties=species:S:1:pos:R:3 pbc="T T T"
Cd 3.8386 3.8386 0.0000
Te 5.2598 6.2559 2.0290
Te 2.4173 1.4212 2.0290
Au 4.8297 0.9911 0.0000
Au 0.9911 2.8475 0.0000
Te 6.2559 2.4173 2.0290
Au 6.6860 4.8297 0.0000
Au 2.8475 6.6860 0.0000
Te 1.4212 5.2598 2.0290
Cd 0.0000 0.0000 0.0000
```

Computed properties:
energy above the lowest structure with this stoichiometry = 0.063 eV/f.u.
symmetry = No. 127
energy relative to the elements, uncorrected = 78.3 meV per atom

=====

Entry from Alexandria: LaDy2In9 after structural relaxation (PBE).

```
12
Lattice="-4.0014 -2.0137 1.4011 1.9234 -0.9116 4.1832 -4.5553 12.3873 4.7939" Properties=species:S:1:pos:R:3 pbc="T T T"
In -1.3159 5.7379 4.4885
In 0.1740 1.6863 2.9206
In -5.7682 9.2383 4.6654
In -2.5643 2.6852 4.3973
In -4.2783 5.1868 3.0975
Dy -1.5374 4.1806 1.6179
In -1.0390 -1.4626 2.7921
In -4.0690 6.7769 5.9808
Dy -3.0179 8.2067 3.1760
La 0.0000 0.0000 0.0000
In -2.7885 1.1353 1.5295
In -2.8058 9.7894 6.0564
```

Computed properties:
formation energy = -5.2 eV per formula unit
symmetry = No. 123

=====

Entry from Alexandria: LiCaMgSi after structural relaxation (PBE).

```
4
Lattice="-3.8461 0.5836 2.9271 -2.0031 -3.8612 2.1863 0.4861 -0.5996 4.8068" Properties=species:S:1:pos:R:3 pbc="T T T"
Mg 0.0000 0.0000 0.0000
Ca -2.6815 -1.9386 4.9601
Si -4.0223 -2.9079 7.4401
Li -1.3408 -0.9693 2.4800
```

Computed properties:
symmetry = No. 216
energy relative to the elements, uncorrected = -178.7 meV per atom

=====

So what do the calculations give for Fermi-level density of states? Going down the list: 3.92 6.05 2.38 states/eV per cell.